Model P:
VASP calculation (GGA-PBE) on an optimized crystal structure of PmScHgAu.

abc: 5.1231 5.1231 5.1231
angles: 60.00 60.00 60.00
Last column: nearest neighbours and their distance in Å.
Sites, in units of the cell vectors:
Hg 0.5000 0.5000 0.5000  4 Pm 3.14, 4 Sc 3.14
Au 0.0000 0.0000 0.0000  4 Pm 3.14, 4 Sc 3.14
Sc 0.2500 0.2500 0.2500  4 Au 3.14, 4 Hg 3.14
Pm 0.7500 0.7500 0.7500  4 Hg 3.14, 4 Au 3.14

Properties
Fermi-level density of states = 4.7 states/eV/cell
space-group type = F-43m (216)
spin magnetization = 0.000 μB/atom

***

Model Q:
VASP calculation (GGA-PBE) on an optimized crystal structure of PmScHgAu.

abc: 3.5129 3.5129 7.5832
angles: 90.00 90.00 90.00
Last column: nearest neighbours and their distance in Å.
Sites, in units of the cell vectors:
Hg 0.0000 0.0000 0.8273  4 Sc 3.08, 1 Au 3.28, 4 Pm 3.32
Pm 0.5000 0.5000 0.1177  4 Au 3.25, 4 Hg 3.32, 4 Pm 3.51, 1 Sc 3.57
Sc 0.5000 0.5000 0.5882  4 Au 2.88, 4 Hg 3.08
Au 0.0000 0.0000 0.3947  4 Sc 2.88

Properties
Fermi-level density of states = 4.2 states/eV/cell
space-group type = P4mm (99)
spin magnetization = 0.059 μB/atom

***

Taking the most stable structure as the zero point, the relative energies in meV per atom are model P 39; model Q 0.